(1)
! PBE-GGA Sb2TeHIr, relaxed; values from VASP
! Total magnetization in μB/f.u.: 0.0
&SYSTEM
  ibrav = 0, nat = 5, ntyp = 4
/
ATOMIC_SPECIES
Sb 121.76 Sb.upf
Te 127.60 Te.upf
H 1.01 H.upf
Ir 192.22 Ir.upf
ATOMIC_POSITIONS crystal
Sb 0.000 0.500 0.000
Sb 0.500 0.000 0.000
Te 0.000 0.000 0.500
H 0.000 0.000 0.000
Ir 0.500 0.500 0.500
CELL_PARAMETERS angstrom
4.404 0.000 0.000
0.000 4.404 0.000
0.000 0.000 4.896


(2)
! PBE-GGA BaSn2PdPt, relaxed; values from VASP
! Total magnetization in μB/f.u.: 0.0
! Formation energy from the elements in meV/atom: -709
&SYSTEM
  ibrav = 0, nat = 10, ntyp = 4
/
ATOMIC_SPECIES
Ba 137.33 Ba.upf
Sn 118.71 Sn.upf
Pd 106.42 Pd.upf
Pt 195.08 Pt.upf
ATOMIC_POSITIONS crystal
Ba 0.000 0.000 0.000
Ba 0.500 0.500 0.500
Sn 0.000 0.000 0.359
Sn 0.000 0.000 0.641
Sn 0.500 0.500 0.141
Sn 0.500 0.500 0.859
Pd 0.000 0.500 0.750
Pd 0.500 0.000 0.250
Pt 0.000 0.500 0.250
Pt 0.500 0.000 0.750
CELL_PARAMETERS angstrom
4.815 0.000 0.000
0.000 4.815 0.000
0.000 0.000 11.157


(3)
! PBE-GGA Nb6Pt5Rh, relaxed; values from VASP
! Total magnetization in μB/f.u.: 0.0
! Formation energy from the elements in meV/atom: -628
&SYSTEM
  ibrav = 0, nat = 12, ntyp = 3
/
ATOMIC_SPECIES
Nb 92.91 Nb.upf
Pt 195.08 Pt.upf
Rh 102.91 Rh.upf
ATOMIC_POSITIONS crystal
Nb 0.082 0.334 0.748
Nb 0.246 0.000 0.246
Nb 0.414 0.666 0.748
Nb 0.586 0.334 0.252
Nb 0.754 0.000 0.754
Nb 0.918 0.666 0.252
Pt 0.167 0.167 0.000
Pt 0.334 0.834 0.500
Pt 0.500 0.500 0.000
Pt 0.666 0.166 0.500
Pt 0.833 0.833 0.000
Rh 0.000 0.500 0.500
CELL_PARAMETERS angstrom
-2.006 4.097 5.991
2.006 -4.097 5.991
2.006 4.097 -5.991


(4)
! PBE-GGA K3Sn5Se12, relaxed; values from VASP
! Total magnetization in μB/f.u.: 0.0
! Formation energy (no corrections) in meV per atom: -472
&SYSTEM
  ibrav = 0, nat = 80, ntyp = 3
/
ATOMIC_SPECIES
K 39.10 K.upf
Sn 118.71 Sn.upf
Se 78.96 Se.upf
ATOMIC_POSITIONS crystal
K 0.125 0.250 0.375
K 0.125 0.375 0.750
K 0.250 0.375 0.125
K 0.250 0.875 0.625
K 0.375 0.125 0.250
K 0.375 0.750 0.125
K 0.625 0.250 0.875
K 0.625 0.875 0.750
K 0.750 0.125 0.375
K 0.750 0.625 0.875
K 0.875 0.625 0.250
K 0.875 0.750 0.625
Sn 0.000 0.000 0.000
Sn 0.000 0.000 0.500
Sn 0.000 0.500 0.000
Sn 0.000 0.500 0.500
Sn 0.125 0.750 0.875
Sn 0.125 0.875 0.250
Sn 0.250 0.125 0.875
Sn 0.250 0.625 0.375
Sn 0.375 0.250 0.625
Sn 0.375 0.625 0.750
Sn 0.500 0.000 0.000
Sn 0.500 0.000 0.500
Sn 0.500 0.500 0.000
Sn 0.500 0.500 0.500
Sn 0.625 0.375 0.250
Sn 0.625 0.750 0.375
Sn 0.750 0.375 0.625
Sn 0.750 0.875 0.125
Sn 0.875 0.125 0.750
Sn 0.875 0.250 0.125
Se 0.029 0.206 0.116
Se 0.029 0.323 0.913
Se 0.087 0.616 0.410
Se 0.087 0.971 0.677
Se 0.090 0.706 0.677
Se 0.090 0.884 0.413
Se 0.116 0.029 0.206
Se 0.116 0.587 0.910
Se 0.177 0.206 0.590
Se 0.177 0.471 0.587
Se 0.206 0.116 0.029
Se 0.206 0.590 0.177
Se 0.294 0.323 0.910
Se 0.294 0.471 0.384
Se 0.323 0.910 0.294
Se 0.323 0.913 0.029
Se 0.384 0.294 0.471
Se 0.384 0.590 0.913
Se 0.410 0.087 0.616
Se 0.410 0.823 0.794
Se 0.413 0.090 0.884
Se 0.413 0.823 0.529
Se 0.471 0.384 0.294
Se 0.471 0.587 0.177
Se 0.529 0.413 0.823
Se 0.529 0.616 0.706
Se 0.587 0.177 0.471
Se 0.587 0.910 0.116
Se 0.590 0.177 0.206
Se 0.590 0.913 0.384
Se 0.616 0.410 0.087
Se 0.616 0.706 0.529
Se 0.677 0.087 0.971
Se 0.677 0.090 0.706
Se 0.706 0.529 0.616
Se 0.706 0.677 0.090
Se 0.794 0.410 0.823
Se 0.794 0.884 0.971
Se 0.823 0.529 0.413
Se 0.823 0.794 0.410
Se 0.884 0.413 0.090
Se 0.884 0.971 0.794
Se 0.910 0.116 0.587
Se 0.910 0.294 0.323
Se 0.913 0.029 0.323
Se 0.913 0.384 0.590
Se 0.971 0.677 0.087
Se 0.971 0.794 0.884
CELL_PARAMETERS angstrom
-8.544 8.544 8.544
8.544 -8.544 8.544
8.544 8.544 -8.544


Number 1: theoretical density 9.87 g cm⁻³, total DFT energy (no corrections) -19.9 eV for the cell shown. Number 2: theoretical density 8.68 g cm⁻³, total DFT energy (no corrections) -49.4 eV for the cell shown. Number 3: theoretical density 13.79 g cm⁻³, total DFT energy (no corrections) -105.5 eV for the cell shown. Number 4: theoretical density 4.41 g cm⁻³, total DFT energy (no corrections) -298.2 eV for the cell shown.